# Cs2NpBeSe4, relaxed, DFT PBE
data_Cs2NpBeSe4
_cell_length_a 6.249
_cell_length_b 15.031
_cell_length_c 26.701
_cell_angle_alpha 90.00
_cell_angle_beta 90.00
_cell_angle_gamma 90.00
_space_group_name_H-M_alt 'F d d d'
_space_group_IT_number 70
loop_
_space_group_symop_operation_xyz
'x,y,z'
'-x,-y,-z'
'-x+1/4,-y+1/4,z'
'x+1/4,y+1/4,-z'
'x,-y+1/4,-z+1/4'
'-x,y+1/4,z+1/4'
'-x+1/4,y,-z+1/4'
'x+1/4,-y,z+1/4'
'x,y+1/2,z+1/2'
'-x,-y+1/2,-z+1/2'
'-x+1/4,-y+3/4,z+1/2'
'x+1/4,y+3/4,-z+1/2'
'x,-y+3/4,-z+3/4'
'-x,y+3/4,z+3/4'
'-x+1/4,y+1/2,-z+3/4'
'x+1/4,-y+1/2,z+3/4'
'x+1/2,y,z+1/2'
'-x+1/2,-y,-z+1/2'
'-x+3/4,-y+1/4,z+1/2'
'x+3/4,y+1/4,-z+1/2'
'x+1/2,-y+1/4,-z+3/4'
'-x+1/2,y+1/4,z+3/4'
'-x+3/4,y,-z+3/4'
'x+3/4,-y,z+3/4'
'x+1/2,y+1/2,z'
'-x+1/2,-y+1/2,-z'
'-x+3/4,-y+3/4,z'
'x+3/4,y+3/4,-z'
'x+1/2,-y+3/4,-z+1/4'
'-x+1/2,y+3/4,z+1/4'
'-x+3/4,y+1/2,-z+1/4'
'x+3/4,-y+1/2,z+1/4'
loop_
_atom_site_label
_atom_site_type_symbol
_atom_site_fract_x
_atom_site_fract_y
_atom_site_fract_z
Cs1 Cs 0.125 0.125 0.303
Np1 Np 0.125 0.125 0.125
Be1 Be 0.125 0.125 0.625
Se1 Se 0.080 0.283 0.825
# Formation energy without anion corrections (eV per atom): -0.96
# Final energy (eV per atom): -5.00